# DyZn12Ni7

DyZn12Ni7 after structural relaxation (PBE, Alexandria).

a b c (Å): 7.5619 7.5619 7.5619
angles (deg): 109.47 109.47 109.47
Atoms (fractional coordinates):
Dy: 0.0000 0.0000 0.0000
Zn: 0.3450 0.2385 0.5836
Zn: 0.3450 0.7615 0.1065
Zn: 0.6550 0.7615 0.4164
Zn: 0.6550 0.2385 0.8935
Zn: 0.5836 0.3450 0.2385
Zn: 0.8935 0.6550 0.2385
Zn: 0.4164 0.6550 0.7615
Zn: 0.1065 0.3450 0.7615
Zn: 0.7615 0.1065 0.3450
Zn: 0.2385 0.8935 0.6550
Zn: 0.2385 0.5836 0.3450
Zn: 0.7615 0.4164 0.6550
Ni: 0.5000 0.0000 0.5000
Ni: 0.5000 0.5000 0.0000
Ni: 0.0000 0.5000 0.5000
Ni: 0.0000 0.0000 0.5000
Ni: 0.5000 0.0000 0.0000
Ni: 0.5000 0.5000 0.5000
Ni: 0.0000 0.5000 0.0000

symmetry	Im-3 (204)
DFT total energy	-0.1050	Ha/atom
formation energy from the elements	0.162	eV/atom
mass density	6.78	g/cm³